1.
Below is a relaxed EuTmCuRh crystal, with properties calculated at the PBE-GGA level. Values from VASP.

For the formation enthalpy at 0 K, the calculation gives -154 kJ/mol of formula units. The value obtained for the raw total energy is -6.95 eV/atom. The crystal system is cubic.

Quantum ESPRESSO input file:
```
&SYSTEM
  ibrav = 0, nat = 4, ntyp = 4
/
ATOMIC_SPECIES
Eu 151.96 Eu.upf
Cu 63.55 Cu.upf
Tm 168.93 Tm.upf
Rh 102.91 Rh.upf
CELL_PARAMETERS angstrom
-3.4197 2.1575 -2.7923
-4.6712 -1.5073 0.2325
-3.4082 2.8719 2.0694
ATOMIC_POSITIONS crystal
Eu 0.5000 0.5000 0.5000
Cu 0.2500 0.2500 0.2500
Tm 0.0000 0.0000 0.0000
Rh 0.7500 0.7500 0.7500
```



2.
Below is a relaxed Re3Os5 crystal, with properties calculated at the PBE-GGA level. Values from VASP.

The distance to the lowest polymorph of the same formula comes out at 35.43 kJ per mole of atoms. For the formation enthalpy at 0 K, the calculation gives 336 kJ/mol of formula units. The value obtained for the raw total energy is -11.25 eV/atom. The crystal system is orthorhombic.

Quantum ESPRESSO input file:
```
&SYSTEM
  ibrav = 0, nat = 16, ntyp = 2
/
ATOMIC_SPECIES
Re 186.21 Re.upf
Os 190.23 Os.upf
CELL_PARAMETERS angstrom
6.4076 0.0251 0.0000
3.1777 7.8816 0.0000
0.0000 0.0000 4.9050
ATOMIC_POSITIONS crystal
Re 0.9852 0.4331 0.2500
Re 0.4189 0.5668 0.2500
Re 0.0148 0.5670 0.7500
Re 0.5831 0.9999 0.2500
Re 0.4170 0.0001 0.7500
Re 0.5811 0.4332 0.7500
Os 0.2464 0.7607 0.7500
Os 0.7536 0.2393 0.2500
Os 0.0068 0.2398 0.7500
Os 0.8475 0.0003 0.7500
Os 0.9932 0.7603 0.2500
Os 0.6445 0.7111 0.0000
Os 0.6445 0.7111 0.5000
Os 0.3554 0.2889 0.5000
Os 0.1526 0.9998 0.2500
Os 0.3554 0.2889 0.0000
```



3.
Below is a relaxed BeS3O crystal, with properties calculated at the PBE-GGA level. Values from VASP.

The calculation puts the formation energy from raw total energies at 5.103 eV/f.u. The distance to the lowest polymorph of the same formula comes out at 5.82 kJ per mole of atoms. The value obtained for the raw total energy is -3.19 eV/atom. The crystal system is cubic.

Quantum ESPRESSO input file:
```
&SYSTEM
  ibrav = 0, nat = 5, ntyp = 3
/
ATOMIC_SPECIES
O 16.00 O.upf
Be 9.01 Be.upf
S 32.06 S.upf
CELL_PARAMETERS angstrom
-1.3897 -3.1944 2.2787
-1.3922 -1.8587 -3.4547
3.6685 -1.9155 -0.4478
ATOMIC_POSITIONS crystal
O 0.0000 0.0000 0.0000
Be 0.5000 0.5000 0.5000
S 0.0000 0.5000 0.0000
S 0.5000 0.0000 0.0000
S 0.0000 0.0000 0.5000
```



4.
Below is a relaxed Mg2HOs crystal, with properties calculated at the PBE-GGA level. Values from VASP.

The distance to the lowest polymorph of the same formula comes out at 5.86 kJ per mole of atoms. The value obtained for the raw total energy is -4.42 eV/atom. The crystal system is monoclinic.

Quantum ESPRESSO input file:
```
&SYSTEM
  ibrav = 0, nat = 16, ntyp = 3
/
ATOMIC_SPECIES
Mg 24.30 Mg.upf
Os 190.23 Os.upf
H 1.01 H.upf
CELL_PARAMETERS angstrom
-3.7839 -2.5839 1.9971
-1.0788 -4.2837 -7.5866
3.9717 -2.8475 1.0430
ATOMIC_POSITIONS crystal
Mg 0.7523 0.0010 0.2925
Mg 0.2477 0.0010 0.7075
Mg 0.2477 0.5010 0.2075
Mg 0.2537 0.3262 0.7029
Mg 0.7463 0.8262 0.7971
Mg 0.7463 0.3262 0.2971
Mg 0.7523 0.5010 0.7925
Mg 0.2537 0.8262 0.2029
Os 0.2188 0.6667 0.6848
Os 0.7812 0.6667 0.3152
Os 0.7812 0.1667 0.8152
Os 0.2188 0.1667 0.1848
H 0.5000 0.1328 0.5000
H 0.5000 0.1633 0.0000
H 0.5000 0.6328 0.0000
H 0.5000 0.6633 0.5000
```